# 1
DFT (PBE) results for crystalline Pm5Sm2Ho4 at its relaxed geometry.

The space group is C2/m (No. 12) and the conventional cell measures 17.733, 3.549 and 11.664 Å, with angles of 90.00, 94.02 and 90.00 degrees. The asymmetric unit holds Pm at (0.000, 0.000, 0.000), Pm at (0.096, 0.500, 0.535), Pm at (0.176, 0.500, 0.069), Sm at (0.216, 0.000, 0.352), Ho at (0.033, 0.500, 0.258) and Ho at (0.140, 0.000, 0.797).

As for the raw total energy: -4.611 eV per atom. The density of states at the Fermi level is 1.417 states/eV per atom. The formation energy comes out at 71 meV per atom. The value obtained for the energy relative to the lowest polymorph listed for this composition is 0 meV/atom.

=====

# 2
DFT (PBE) results for crystalline InRe3Br at its relaxed geometry.

The space group is Pm-3m (No. 221) and the conventional cell measures 5.172, 5.172 and 5.172 Å, with angles of 90.00, 90.00 and 90.00 degrees. The asymmetric unit holds In at (0.000, 0.000, 0.000), Re at (0.000, 0.000, 0.500) and Br at (0.500, 0.500, 0.500).

As for the raw total energy: -5.104 eV per atom. The density of states at the Fermi level is 1.955 states/eV per atom. The uncorrected formation energy comes out at 3.25 eV per atom. The value obtained for the energy relative to the lowest polymorph listed for this composition is 1023 meV/atom.

=====

# 3
DFT (PBE) results for crystalline Li3CaAg3 at its relaxed geometry.

The space group is Pm-3n (No. 223) and the conventional cell measures 6.931, 6.931 and 6.931 Å, with angles of 90.00, 90.00 and 90.00 degrees. The asymmetric unit holds Li at (0.000, 0.250, 0.500), Ca at (0.000, 0.000, 0.000) and Ag at (0.000, 0.500, 0.250).

As for the raw total energy: -2.218 eV per atom. The density of states at the Fermi level is 0.404 states/eV per atom. The formation energy comes out at 110 meV per atom. The value obtained for the energy relative to the lowest polymorph listed for this composition is 246 meV/atom.

=====

# 4
DFT (PBE) results for crystalline TbThZn17 at its relaxed geometry.

The space group is R3m (No. 160, hexagonal axes) and the conventional cell measures 9.0238, 9.0238 and 13.2025 Å, with angles of 90.00, 90.00 and 120.00 degrees. The asymmetric unit holds Tb at (0.0000, 0.0000, 0.0000), Th at (0.0000, 0.0000, 0.6722), Zn at (0.0000, 0.0000, 0.2355), Zn at (0.0000, 0.0000, 0.4338), Zn at (0.0071, 0.5036, 0.4885), Zn at (0.0398, 0.3714, 0.0024), Zn at (0.1672, 0.3344, 0.1696) and Zn at (0.1717, 0.3433, 0.5164).

As for the raw total energy: -1.997 eV per atom. The density of states at the Fermi level is 0.268 states/eV per atom. The formation energy comes out at -223 meV per atom.

=====

# 5
DFT (PBE) results for crystalline PuSeS at its relaxed geometry.

The space group is F-43m (No. 216) and the conventional cell measures 6.617, 6.617 and 6.617 Å, with angles of 90.00, 90.00 and 90.00 degrees. The asymmetric unit holds Pu at (0.000, 0.000, 0.000), Se at (0.250, 0.250, 0.250) and S at (0.250, 0.250, 0.750).

As for the raw total energy: -8.601 eV per atom. The density of states at the Fermi level is 1.959 states/eV per atom. The uncorrected formation energy comes out at -1.29 eV per atom. The value obtained for the energy relative to the lowest polymorph listed for this composition is 70 meV/atom.

=====

# 6
DFT (PBE) results for crystalline USi6Ir3 at its relaxed geometry.

The space group is P2_1/m (No. 11) and the conventional cell measures 8.651, 4.115 and 8.942 Å, with angles of 90.00, 90.39 and 90.00 degrees. The asymmetric unit holds U at (0.053, 0.250, 0.298), Si at (0.092, 0.750, 0.032), Si at (0.170, 0.250, 0.619), Si at (0.280, 0.750, 0.248), Si at (0.315, 0.750, 0.788), Si at (0.431, 0.250, 0.435), Si at (0.466, 0.250, 0.904), Ir at (0.187, 0.250, 0.899), Ir at (0.287, 0.750, 0.520) and Ir at (0.401, 0.250, 0.164).

As for the raw total energy: -7.566 eV per atom. The density of states at the Fermi level is 0.799 states/eV per atom. The uncorrected formation energy comes out at -0.53 eV per atom.

=====

# 7
DFT (PBE) results for crystalline MgZnIr3 at its relaxed geometry.

The space group is Pm-3m (No. 221) and the conventional cell measures 4.493, 4.493 and 4.493 Å, with angles of 90.00, 90.00 and 90.00 degrees. The asymmetric unit holds Mg at (0.000, 0.000, 0.000), Zn at (0.500, 0.500, 0.500) and Ir at (0.000, 0.000, 0.500).

As for the raw total energy: -4.347 eV per atom. The density of states at the Fermi level is 0.972 states/eV per atom. The formation energy comes out at 1543 meV per atom. The value obtained for the energy relative to the lowest polymorph listed for this composition is 423 meV/atom.

=====

What did the second record say?
DFT (PBE) results for crystalline InRe3Br at its relaxed geometry.

The space group is Pm-3m (No. 221) and the conventional cell measures 5.172, 5.172 and 5.172 Å, with angles of 90.00, 90.00 and 90.00 degrees. The asymmetric unit holds In at (0.000, 0.000, 0.000), Re at (0.000, 0.000, 0.500) and Br at (0.500, 0.500, 0.500).

As for the raw total energy: -5.104 eV per atom. The density of states at the Fermi level is 1.955 states/eV per atom. The uncorrected formation energy comes out at 3.25 eV per atom. The value obtained for the energy relative to the lowest polymorph listed for this composition is 1023 meV/atom.